Crystalline Pr2Ge3Au2 at its relaxed geometry, computed with PBE.

Summary:
E_form in eV per formula unit: -4.8
Density of states at the Fermi level in states/eV/atom: 0.293
Space-group type: Cmcm

abc: 9.8303 9.8303 7.1755
angles: 90.00 90.00 153.36
With the nearest neighbours (Å) after each atom.
Element x y z (fractional)
Pr (0.0516, 0.9484, 0.7500)  9 Ge 3.23-3.36
Pr (0.1548, 0.8452, 0.2500)  6 Ge 3.18-3.27, 6 Au 3.20-3.33
Pr (0.8452, 0.1548, 0.7500)  6 Ge 3.18-3.27, 6 Au 3.20-3.33
Pr (0.9484, 0.0516, 0.2500)  9 Ge 3.23-3.36
Ge (0.2219, 0.7781, 0.7500)  6 Au 2.75-2.77
Ge (0.4406, 0.5594, 0.5708)  2 Ge 2.49-2.57, 1 Au 2.61
Ge (0.4406, 0.5594, 0.9292)  2 Ge 2.49-2.57, 1 Au 2.61
Ge (0.5594, 0.4406, 0.0708)  2 Ge 2.49-2.57, 1 Au 2.61
Ge (0.5594, 0.4406, 0.4292)  2 Ge 2.49-2.57, 1 Au 2.61
Ge (0.7781, 0.2219, 0.2500)  6 Au 2.75-2.77
Au (0.3122, 0.6878, 0.0516)  4 Ge 2.61-2.77, 1 Au 2.85
Au (0.3122, 0.6878, 0.4484)  4 Ge 2.61-2.77, 1 Au 2.85
Au (0.6878, 0.3122, 0.5516)  4 Ge 2.61-2.77, 1 Au 2.85
Au (0.6878, 0.3122, 0.9484)  4 Ge 2.61-2.77, 1 Au 2.85

=====

Crystalline Ta2CdNi at its relaxed geometry, computed with PBE.

Summary:
E_form in eV per formula unit: 0.2
Density of states at the Fermi level in states/eV/atom: 0.907
Space-group type: P4mm

abc: 2.8626 2.8626 8.2535
angles: 90.00 90.00 90.00
With the nearest neighbours (Å) after each atom.
Element x y z (fractional)
Ta (0.0000, 0.0000, 0.0000)  4 Ni 2.65, 4 Ta 2.86
Ta (0.5000, 0.5000, 0.2740)  8 Ta 2.86-3.03, 4 Cd 3.12
Cd (0.0000, 0.0000, 0.5611)  4 Ni 2.79, 4 Cd 2.86, 4 Ta 3.12
Ni (0.5000, 0.5000, 0.7931)  4 Ta 2.65, 4 Cd 2.79, 4 Ni 2.86

=====

Crystalline Al4CrTc at its relaxed geometry, computed with PBE.

Summary:
E_form in eV per formula unit: 0.4
Density of states at the Fermi level in states/eV/atom: 0.539
Space-group type: F-43m

abc: 5.0308 5.0308 5.0308
angles: 60.00 60.00 60.00
With the nearest neighbours (Å) after each atom.
Element x y z (fractional)
Al (0.1250, 0.1250, 0.1250)  6 Al 2.51-2.52
Al (0.1250, 0.1250, 0.6249)  6 Al 2.51-2.52
Al (0.1250, 0.6249, 0.1250)  6 Al 2.51-2.52
Al (0.6249, 0.1250, 0.1250)  6 Al 2.51-2.52
Cr (0.7500, 0.7500, 0.7500)  12 Al 2.95, 4 Tc 3.08
Tc (0.5000, 0.5000, 0.5000)  12 Al 2.95, 4 Cr 3.08

=====

Crystalline K2AlCd3Sn4 at its relaxed geometry, computed with PBE.

Summary:
E_form in eV per formula unit: -1.4
Density of states at the Fermi level in states/eV/atom: 0.280
Space-group type: P-4m2

abc: 4.8065 4.8065 12.6466
angles: 90.00 90.00 90.00
With the nearest neighbours (Å) after each atom.
Element x y z (fractional)
K (0.0000, 0.5000, 0.2436)  6 Cd 3.68-3.91, 8 Sn 3.69-4.04, 2 Al 3.91
K (0.5000, 0.0000, 0.7564)  6 Cd 3.68-3.91, 8 Sn 3.69-4.04, 2 Al 3.91
Al (0.5000, 0.5000, 0.0000)  4 Sn 2.91
Cd (0.0000, 0.0000, 0.0000)  4 Sn 2.91
Cd (0.0000, 0.5000, 0.6454)  5 Sn 2.85-3.03
Cd (0.5000, 0.0000, 0.3546)  5 Sn 2.85-3.03
Sn (0.0000, 0.0000, 0.5000)  4 Cd 3.03
Sn (0.0000, 0.5000, 0.8709)  3 Cd 2.85-2.91, 2 Al 2.91
Sn (0.5000, 0.0000, 0.1291)  3 Cd 2.85-2.91, 2 Al 2.91
Sn (0.5000, 0.5000, 0.5000)  4 Cd 3.03

=====

Crystalline CoCuPb2S at its relaxed geometry, computed with PBE.

Summary:
Density of states at the Fermi level in states/eV/atom: 0.240
Space-group type: P4/mmm

abc: 5.6320 5.6320 3.9847
angles: 90.00 90.00 90.00
With the nearest neighbours (Å) after each atom.
Element x y z (fractional)
Co (0.0000, 0.0000, 0.0000)  2 S 1.99
Cu (0.5000, 0.5000, 0.0000)  8 Pb 3.45
Pb (0.0000, 0.5000, 0.5000)  2 S 2.82
Pb (0.5000, 0.0000, 0.5000)  2 S 2.82
S (0.0000, 0.0000, 0.5000)  2 Co 1.99

=====

Crystalline VZn2Co5 at its relaxed geometry, computed with PBE.

Summary:
E_form in eV per formula unit: -0.5
Density of states at the Fermi level in states/eV/atom: 1.318
Space-group type: I4/mmm

abc: 7.4779 7.4779 7.4779
angles: 151.82 151.82 40.28
With the nearest neighbours (Å) after each atom.
Element x y z (fractional)
V (0.0000, 0.0000, 0.0000)  12 Co 2.48-2.57
Zn (0.2509, 0.2509, 0.0000)  8 Co 2.57-2.59, 4 Zn 2.57
Zn (0.7491, 0.7491, 0.0000)  8 Co 2.57-2.59, 4 Zn 2.57
Co (0.1196, 0.6196, 0.5000)  6 Co 2.48-2.57, 2 V 2.48, 4 Zn 2.57-2.59
Co (0.3804, 0.8804, 0.5000)  2 V 2.48, 6 Co 2.48-2.57, 4 Zn 2.57-2.59
Co (0.5000, 0.5000, 0.0000)  8 Co 2.48, 4 V 2.57
Co (0.6196, 0.1196, 0.5000)  6 Co 2.48-2.57, 2 V 2.48, 4 Zn 2.57-2.59
Co (0.8804, 0.3804, 0.5000)  2 V 2.48, 6 Co 2.48-2.57, 4 Zn 2.57-2.59

=====

Crystalline CsNa2HgBi at its relaxed geometry, computed with PBE.

Summary:
E_form in eV per formula unit: -0.9
Density of states at the Fermi level in states/eV/atom: 0.164
Space-group type: P4/mmm

abc: 6.0701 6.0701 7.6431
angles: 90.00 90.00 90.00
With the nearest neighbours (Å) after each atom.
Element x y z (fractional)
Cs (0.0000, 0.0000, 0.0000)  2 Bi 3.82
Na (0.0000, 0.5000, 0.5000)  2 Bi 3.04
Na (0.5000, 0.0000, 0.5000)  2 Bi 3.04
Hg (0.5000, 0.5000, 0.0000)  4 Cs 4.29
Bi (0.0000, 0.0000, 0.5000)  4 Na 3.04

=====

Crystalline Pr12In4HgN3 at its relaxed geometry, computed with PBE.

Summary:
Density of states at the Fermi level in states/eV/atom: 0.903
Space-group type: Im-3m

abc: 9.1014 9.1014 9.1014
angles: 109.47 109.47 109.47
With the nearest neighbours (Å) after each atom.
Element x y z (fractional)
Pr (0.0000, 0.2766, 0.2766)  1 N 2.35
Pr (0.0000, 0.7234, 0.7234)  1 N 2.35
Pr (0.2500, 0.5000, 0.7500)  2 N 2.63
Pr (0.2500, 0.7500, 0.5000)  2 N 2.63
Pr (0.2766, 0.0000, 0.2766)  1 N 2.35
Pr (0.2766, 0.2766, 0.0000)  1 N 2.35
Pr (0.5000, 0.2500, 0.7500)  2 N 2.63
Pr (0.5000, 0.7500, 0.2500)  2 N 2.63
Pr (0.7234, 0.0000, 0.7234)  1 N 2.35
Pr (0.7234, 0.7234, 0.0000)  1 N 2.35
Pr (0.7500, 0.2500, 0.5000)  2 N 2.63
Pr (0.7500, 0.5000, 0.2500)  2 N 2.63
In (0.0000, 0.0000, 0.5000)  12 Pr 3.72-3.73
In (0.0000, 0.5000, 0.0000)  12 Pr 3.72-3.73
In (0.5000, 0.0000, 0.0000)  12 Pr 3.72-3.73
In (0.5000, 0.5000, 0.5000)  12 Pr 3.72-3.73
Hg (0.0000, 0.0000, 0.0000)  6 Pr 2.91
N (0.0000, 0.5000, 0.5000)  6 Pr 2.35-2.63
N (0.5000, 0.0000, 0.5000)  6 Pr 2.35-2.63
N (0.5000, 0.5000, 0.0000)  6 Pr 2.35-2.63

=====

Number 1: total magnetic moment 0.0 μB per cell, total energy -69.5 eV per cell. Number 2: total magnetic moment 0.0 μB per cell, total energy -30.3 eV per cell. Number 3: total magnetic moment 4.2 μB per cell, total energy -34.5 eV per cell. Number 4: total magnetic moment 0.0 μB per cell, total energy -26.1 eV per cell. Number 5: total magnetic moment 0.0 μB per cell, total energy -20.5 eV per cell. Number 6: total magnetic moment 4.6 μB per cell, total energy -47.7 eV per cell. Number 7: total magnetic moment 0.0 μB per cell, total energy -8.6 eV per cell. Number 8: total magnetic moment 0.0 μB per cell, total energy -104.8 eV per cell.